No. 1
## KNi2ClF (GGA+U)

Data for a geometry-optimized KNi2ClF structure.

Cell lengths 5.533, 5.235, 5.533 Å; angles 90.00, 90.00, 90.00 degrees
Each line ends with the local moment (μB).
Fractional coordinates of all 5 atoms:
1 K 0.000 0.000 0.000  -0.01
2 Cl 0.000 0.500 0.000  -0.01
3 Ni 0.500 0.000 0.000  -0.99
4 Ni 0.000 0.000 0.500  -1.04
5 F 0.500 0.500 0.500  -0.08

SG: No. 123
Total energy: -1.288 eV per atom

No. 2
## NaV2PbO8 (GGA+U)

Data for a geometry-optimized NaV2PbO8 structure.

Cell lengths 5.796, 5.796, 6.786 Å; angles 90.00, 90.00, 120.00 degrees
Each line ends with the local moment (μB).
Fractional coordinates of all 12 atoms:
1 O 0.165 0.835 0.796  0.10
2 O 0.667 0.333 0.524  0.23
3 O 0.835 0.671 0.204  0.10
4 O 0.333 0.667 0.476  0.23
5 O 0.329 0.165 0.204  0.10
6 O 0.671 0.835 0.796  0.10
7 O 0.165 0.329 0.796  0.10
8 O 0.835 0.165 0.204  0.10
9 Pb 0.000 0.000 0.000  -0.01
10 V 0.667 0.333 0.278  -0.11
11 V 0.333 0.667 0.722  -0.11
12 Na 0.000 0.000 0.500  0.00

SG: No. 164
Total energy: -6.360 eV per atom